Li7Mn2Co3O12: optimized geometry, PBE+U.

Structure (extended XYZ):
```
24
Lattice="3.022 0.000 0.000 -1.032 7.729 0.000 -0.251 -3.762 9.374" Properties=species:S:1:pos:R:3 pbc="T T T"
Li 0.000 0.000 0.000
Li -0.105 -0.877 8.647
Li 0.029 1.002 3.858
Li 0.270 4.866 7.071
Li 1.469 -0.899 2.303
Li 1.710 2.965 5.516
Li 1.844 4.845 0.728
Mn 0.260 3.886 3.097
Mn 1.479 0.081 6.277
Co -0.125 -1.881 4.687
Co 0.162 2.116 7.879
Co 1.577 1.852 1.495
O -0.232 -1.379 6.570
O -0.096 0.607 1.908
O 0.266 3.318 1.256
O 0.173 1.527 6.026
O 0.400 6.209 0.209
O 0.321 4.444 4.964
O 1.418 -0.477 4.410
O 1.339 -2.241 9.165
O 1.566 2.440 3.348
O 1.473 0.650 8.118
O 1.835 3.360 7.466
O 1.971 5.346 2.804
```

Values from the calculation:
size of the total moment	18.02	μB per cell
DOS at the Fermi energy	0.023	states/eV/atom
energy above the most stable polymorph in this dataset	0.083	eV/atom
E	-5.8143	eV per atom
symmetry	P-1